Computed, not measured: a geometry-optimized GdErGe structure at the PBE level of DFT.

Unit cell a=4.8827 b=4.8827 c=4.8827 alpha=60.00 beta=60.00 gamma=60.00
Last column: nearest neighbours and their distance in Å.
Fractional positions:
Ge (0.0000, 0.0000, 0.0000)  4 Gd 2.99, 4 Er 2.99
Gd (0.7500, 0.7500, 0.7500)  4 Ge 2.99
Er (0.2500, 0.2500, 0.2500)  4 Ge 2.99

Values from the calculation:
Relative energy among the computed polymorphs: 0 meV per atom
Crystal system: cubic